# TaCoF3, relaxed, DFT PBE+U
data_TaCoF3
_chemical_formula_sum 'Ta1 Co1 F3'
_space_group_name_H-M_alt 'P m -3 m'
_space_group_IT_number 221
_space_group_name_Hall '-P 4 2 3'
_cell_length_a 4.134
_cell_length_b 4.134
_cell_length_c 4.134
_cell_angle_alpha 90.00
_cell_angle_beta 90.00
_cell_angle_gamma 90.00
loop_
_atom_site_label
_atom_site_fract_x
_atom_site_fract_y
_atom_site_fract_z
_atom_site_occupancy
Ta1 0.000 0.000 0.000 1
Co1 0.500 0.500 0.500 1
F1 0.000 0.000 0.500 1
# E ... -5.148 eV/atom
# ΔE to the lowest computed polymorph ... 0.00 eV/f.u.